The following is a DFT calculation (GGA-PBE) of a relaxed LiPbF3 crystal.

Calculated values
Crystal system: cubic
Energy above the most stable polymorph in this dataset in eV/atom: 0.013
Uncorrected formation energy in eV per atom: -2.556

```
data_LiPbF3
_cell_length_a 3.931
_cell_length_b 3.931
_cell_length_c 3.931
_cell_angle_alpha 90.00
_cell_angle_beta 90.00
_cell_angle_gamma 90.00
_space_group_name_H-M_alt 'P m -3 m'
_space_group_IT_number 221
_space_group_name_Hall '-P 4 2 3'
loop_
_atom_site_label
_atom_site_type_symbol
_atom_site_fract_x
_atom_site_fract_y
_atom_site_fract_z
Li1 Li 0.000 0.000 0.000
Pb1 Pb 0.500 0.500 0.500
F1 F 0.000 0.000 0.500
```

The following is a DFT calculation (GGA-PBE) of a relaxed LiPbF2 crystal.

Calculated values
Crystal system: cubic
Energy above the most stable polymorph in this dataset in eV/atom: 0.584
Uncorrected formation energy in eV per atom: -1.599

```
data_LiPbF2
_cell_length_a 6.356
_cell_length_b 6.356
_cell_length_c 6.356
_cell_angle_alpha 90.00
_cell_angle_beta 90.00
_cell_angle_gamma 90.00
_space_group_name_H-M_alt 'F m -3 m'
_space_group_IT_number 225
_space_group_name_Hall '-F 4 2 3'
loop_
_atom_site_label
_atom_site_type_symbol
_atom_site_fract_x
_atom_site_fract_y
_atom_site_fract_z
Li1 Li 0.000 0.000 0.000
Pb1 Pb 0.000 0.000 0.500
F1 F 0.250 0.250 0.250
```

The following is a DFT calculation (GGA-PBE) of a relaxed LiPbF crystal.

Calculated values
Crystal system: hexagonal
Energy above the most stable polymorph in this dataset in eV/atom: 0.000
Uncorrected formation energy in eV per atom: -1.718

```
data_LiPbF
_cell_length_a 3.2531
_cell_length_b 3.2531
_cell_length_c 7.6264
_cell_angle_alpha 90.00
_cell_angle_beta 90.00
_cell_angle_gamma 120.00
_space_group_name_H-M_alt 'P -6 m 2'
_space_group_IT_number 187
_space_group_name_Hall 'P -6 2'
loop_
_atom_site_label
_atom_site_type_symbol
_atom_site_fract_x
_atom_site_fract_y
_atom_site_fract_z
Li1 Li 0.0000 0.0000 0.0000
Pb1 Pb 0.3333 0.6667 0.5000
F1 F 0.6667 0.3333 0.0000
```

The following is a DFT calculation (GGA-PBE) of a relaxed LiPb2F5 crystal.

Calculated values
Crystal system: orthorhombic
Uncorrected formation energy in eV per atom: -2.430

```
data_LiPb2F5
_cell_length_a 4.587
_cell_length_b 12.323
_cell_length_c 11.337
_cell_angle_alpha 90.00
_cell_angle_beta 90.00
_cell_angle_gamma 90.00
_space_group_name_H-M_alt 'C m c m'
_space_group_IT_number 63
_space_group_name_Hall '-C 2c 2'
loop_
_atom_site_label
_atom_site_type_symbol
_atom_site_fract_x
_atom_site_fract_y
_atom_site_fract_z
Li1 Li 0.000 0.155 0.250
Pb1 Pb 0.000 0.140 0.577
F1 F 0.000 0.062 0.118
F2 F 0.000 0.265 0.750
F3 F 0.000 0.293 0.067
```

The following is a DFT calculation (GGA-PBE) of a relaxed LiPbF2 crystal.

Calculated values
Crystal system: trigonal
Energy above the most stable polymorph in this dataset in eV/atom: 0.232
Uncorrected formation energy in eV per atom: -1.951

```
data_LiPbF2
_cell_length_a 3.3956
_cell_length_b 3.3956
_cell_length_c 22.4779
_cell_angle_alpha 90.00
_cell_angle_beta 90.00
_cell_angle_gamma 120.00
_space_group_name_H-M_alt 'R -3 m'
_space_group_IT_number 166
_space_group_name_Hall '-R 3 2"'
loop_
_atom_site_label
_atom_site_type_symbol
_atom_site_fract_x
_atom_site_fract_y
_atom_site_fract_z
Li1 Li 0.0000 0.0000 0.0000
Pb1 Pb 0.0000 0.0000 0.5000
F1 F 0.0000 0.0000 0.0762
```

The following is a DFT calculation (GGA-PBE) of a relaxed LiPb2F11 crystal.

Calculated values
Crystal system: orthorhombic
Uncorrected formation energy in eV per atom: -1.699

```
data_LiPb2F11
_cell_length_a 8.701
_cell_length_b 10.648
_cell_length_c 10.252
_cell_angle_alpha 90.00
_cell_angle_beta 90.00
_cell_angle_gamma 90.00
_space_group_name_H-M_alt 'I b a m'
_space_group_IT_number 72
_space_group_name_Hall '-I 2 2c'
loop_
_atom_site_label
_atom_site_type_symbol
_atom_site_fract_x
_atom_site_fract_y
_atom_site_fract_z
Li1 Li 0.000 0.000 0.250
Pb1 Pb 0.120 0.241 0.000
F1 F 0.000 0.500 0.000
F2 F 0.112 0.382 0.143
F3 F 0.125 0.107 0.144
F4 F 0.132 0.231 0.500
```